# 1
A plane-wave DFT calculation with PBE was carried out for Sr2PuGe after structural relaxation.

Geometry as extended XYZ:
```
4
Lattice="3.7754 0.0000 0.0000 1.8877 3.2696 0.0000 1.8877 1.0899 11.8801" Properties=species:S:1:pos:R:3 pbc="T T T"
Sr 1.8877 1.0899 8.2452
Pu 0.0000 0.0000 0.0000
Sr 5.6631 3.2696 3.6349
Ge 3.7754 2.1797 5.9400
```

M_tot = 1.58 μB/atom
Energy of formation from the pure elements = 239 meV per atom
VASP energy = -21.358 eV per cell

---

# 2
A plane-wave DFT calculation with PBE was carried out for SrPu4Ge5 after structural relaxation.

Geometry as extended XYZ:
```
10
Lattice="-2.4672 -0.3376 2.1524 -1.1665 -2.5417 -1.7358 11.7777 -13.2102 11.4285" Properties=species:S:1:pos:R:3 pbc="T T T"
Sr 0.0000 0.0000 0.0000
Pu 7.0338 -7.8893 6.8253
Pu 9.3364 -10.4720 9.0596
Pu 4.7438 -5.3208 4.6032
Ge 6.3680 -10.6200 8.1505
Pu 2.4413 -2.7382 2.3689
Ge 1.7759 -5.4694 3.6946
Ge 4.0720 -8.0447 5.9226
Ge 8.6697 -13.2016 10.3839
Ge -0.5257 -2.8878 1.4612
```

M_tot = 0.01 μB/atom
Energy of formation from the pure elements = -414 meV per atom
VASP energy = -86.237 eV per cell

---

# 3
A plane-wave DFT calculation with PBE was carried out for SrPuGe4 after structural relaxation.

Geometry as extended XYZ:
```
6
Lattice="5.7256 0.0000 0.0000 2.8628 4.9585 0.0000 2.8628 1.6528 4.6750" Properties=species:S:1:pos:R:3 pbc="T T T"
Ge 5.7256 3.3057 0.5489
Sr 2.8628 1.6528 1.1687
Ge 4.2652 4.1489 2.9337
Ge 7.1860 4.1489 2.9337
Pu 0.0000 0.0000 0.0000
Ge 5.7256 1.6194 2.9337
```

M_tot = 1.00 μB/atom
Energy of formation from the pure elements = -278 meV per atom
VASP energy = -36.152 eV per cell

---

Which of these has the lowest VASP energy? SrPu4Ge5